No. 1
! TbNd2Cu4Sn2Ge2, optimized geometry, DFT PBE-GGA; values from VASP
! * volume: 20.26 Å³ per atom
! * electronic total energy: -52.01 eV for the cell shown
&SYSTEM
  ibrav = 0, nat = 11, ntyp = 5
/
ATOMIC_SPECIES
Tb 158.93 Tb.upf
Nd 144.24 Nd.upf
Ge 72.64 Ge.upf
Cu 63.55 Cu.upf
Sn 118.71 Sn.upf
ATOMIC_POSITIONS angstrom
Tb 0.000 0.000 0.000
Nd 1.182 4.639 3.191
Nd 2.036 -0.556 3.394
Ge 6.318 8.533 4.397
Ge 1.730 2.337 1.204
Cu 6.010 6.029 5.432
Cu 0.000 1.825 3.097
Cu 3.217 2.257 3.488
Cu -2.793 -1.947 1.153
Sn 4.405 4.601 3.873
Sn -1.188 -0.518 2.713
CELL_PARAMETERS angstrom
6.698 2.698 4.271
1.350 8.172 1.331
-4.831 -6.788 0.984

=====

No. 2
! CdInPd2, optimized geometry, DFT PBE-GGA; values from VASP
! * volume: 19.17 Å³ per atom
! * electronic total energy: -31.29 eV for the cell shown
&SYSTEM
  ibrav = 0, nat = 8, ntyp = 3
/
ATOMIC_SPECIES
Pd 106.42 Pd.upf
Cd 112.41 Cd.upf
In 114.82 In.upf
ATOMIC_POSITIONS angstrom
Pd -5.099 -1.931 1.220
Pd -4.276 -0.136 -1.031
Pd -7.683 -1.608 2.290
Pd -1.692 -0.460 -2.101
Cd -2.518 -2.254 0.152
Cd -6.857 0.187 0.037
In -3.873 0.485 1.603
In 0.000 0.000 0.000
CELL_PARAMETERS angstrom
-1.514 1.415 -4.085
-0.115 -4.453 1.068
-7.746 0.970 3.206

=====

No. 3
! ErTmS2Cl2, optimized geometry, DFT PBE-GGA; values from VASP
! * volume: 28.81 Å³ per atom
! * electronic total energy: -34.11 eV for the cell shown
&SYSTEM
  ibrav = 0, nat = 6, ntyp = 4
/
ATOMIC_SPECIES
Tm 168.93 Tm.upf
S 32.06 S.upf
Cl 35.45 Cl.upf
Er 167.26 Er.upf
ATOMIC_POSITIONS angstrom
Tm -1.845 -0.320 -1.292
S -3.252 -6.828 -0.363
S -0.120 -0.579 -3.329
Cl -2.117 -4.774 -3.552
Cl -1.240 -2.604 -0.139
Er -1.519 -7.072 -2.400
CELL_PARAMETERS angstrom
-2.708 1.421 -2.474
3.099 -1.257 -4.115
-3.559 -7.475 -0.398